1.
Below is a relaxed LiY4Hg crystal, with properties calculated at the PBE level.

```
data_LiY4Hg
_cell_length_a 9.0428
_cell_length_b 9.0428
_cell_length_c 9.0428
_cell_angle_alpha 90.00
_cell_angle_beta 90.00
_cell_angle_gamma 90.00
_space_group_name_H-M_alt 'F -4 3 m'
_space_group_IT_number 216
_space_group_name_Hall 'F -4 2 3'
loop_
_atom_site_label
_atom_site_type_symbol
_atom_site_fract_x
_atom_site_fract_y
_atom_site_fract_z
Li1 Li 0.0000 0.0000 0.0000
Y1 Y 0.1242 0.1242 0.6242
Hg1 Hg 0.2500 0.2500 0.2500
```

Results
Formation energy from the elements ... 0.3705 eV/atom

2.
Below is a relaxed Li2YHg2 crystal, with properties calculated at the PBE level.

```
data_Li2YHg2
_cell_length_a 7.8982
_cell_length_b 7.8982
_cell_length_c 3.6413
_cell_angle_alpha 90.00
_cell_angle_beta 90.00
_cell_angle_gamma 90.00
_space_group_name_H-M_alt 'P 4/m b m'
_space_group_IT_number 127
_space_group_name_Hall '-P 4 2ab'
loop_
_atom_site_label
_atom_site_type_symbol
_atom_site_fract_x
_atom_site_fract_y
_atom_site_fract_z
Li1 Li 0.1598 0.3402 0.0000
Y1 Y 0.0000 0.0000 0.5000
Hg1 Hg 0.1350 0.6350 0.5000
```

Results
Formation energy from the elements ... -0.2495 eV/atom

3.
Below is a relaxed LiYHg crystal, with properties calculated at the PBE level.

```
data_LiYHg
_cell_length_a 6.9020
_cell_length_b 6.9020
_cell_length_c 6.9020
_cell_angle_alpha 90.00
_cell_angle_beta 90.00
_cell_angle_gamma 90.00
_space_group_name_H-M_alt 'F -4 3 m'
_space_group_IT_number 216
_space_group_name_Hall 'F -4 2 3'
loop_
_atom_site_label
_atom_site_type_symbol
_atom_site_fract_x
_atom_site_fract_y
_atom_site_fract_z
Li1 Li 0.0000 0.0000 0.0000
Y1 Y 0.0000 0.0000 0.5000
Hg1 Hg 0.2500 0.2500 0.7500
```

Results
Formation energy from the elements ... -0.1072 eV/atom

4.
Below is a relaxed Li2YHg crystal, with properties calculated at the PBE level.

```
data_Li2YHg
_cell_length_a 3.5835
_cell_length_b 3.5835
_cell_length_c 6.7767
_cell_angle_alpha 90.00
_cell_angle_beta 90.00
_cell_angle_gamma 90.00
_space_group_name_H-M_alt 'P 4/m m m'
_space_group_IT_number 123
_space_group_name_Hall '-P 4 2'
loop_
_atom_site_label
_atom_site_type_symbol
_atom_site_fract_x
_atom_site_fract_y
_atom_site_fract_z
Li1 Li 0.0000 0.0000 0.1978
Y1 Y 0.5000 0.5000 0.5000
Hg1 Hg 0.5000 0.5000 0.0000
```

Results
Formation energy from the elements ... -0.1326 eV/atom

5.
Below is a relaxed LiY2Hg crystal, with properties calculated at the PBE level.

```
data_LiY2Hg
_cell_length_a 3.6264
_cell_length_b 3.6264
_cell_length_c 30.0436
_cell_angle_alpha 90.00
_cell_angle_beta 90.00
_cell_angle_gamma 120.00
_space_group_name_H-M_alt 'R -3 m'
_space_group_IT_number 166
_space_group_name_Hall '-R 3 2"'
loop_
_atom_site_label
_atom_site_type_symbol
_atom_site_fract_x
_atom_site_fract_y
_atom_site_fract_z
Li1 Li 0.0000 0.0000 0.0000
Y1 Y 0.0000 0.0000 0.2453
Hg1 Hg 0.0000 0.0000 0.5000
```

Results
Formation energy from the elements ... -0.0614 eV/atom

6.
Below is a relaxed Li2Y2Hg3 crystal, with properties calculated at the PBE level.

```
data_Li2Y2Hg3
_cell_length_a 3.7846
_cell_length_b 23.8604
_cell_length_c 3.5249
_cell_angle_alpha 90.00
_cell_angle_beta 90.00
_cell_angle_gamma 90.00
_space_group_name_H-M_alt 'C m m m'
_space_group_IT_number 65
_space_group_name_Hall '-C 2 2'
loop_
_atom_site_label
_atom_site_type_symbol
_atom_site_fract_x
_atom_site_fract_y
_atom_site_fract_z
Li1 Li 0.0000 0.2130 0.0000
Y1 Y 0.0000 0.0793 0.0000
Hg1 Hg 0.0000 0.3395 0.5000
Hg2 Hg 0.0000 0.5000 0.5000
```

Results
Formation energy from the elements ... -0.3679 eV/atom

7.
Below is a relaxed LiYHg crystal, with properties calculated at the PBE level.

```
data_LiYHg
_cell_length_a 6.9596
_cell_length_b 6.9596
_cell_length_c 6.9596
_cell_angle_alpha 90.00
_cell_angle_beta 90.00
_cell_angle_gamma 90.00
_space_group_name_H-M_alt 'F -4 3 m'
_space_group_IT_number 216
_space_group_name_Hall 'F -4 2 3'
loop_
_atom_site_label
_atom_site_type_symbol
_atom_site_fract_x
_atom_site_fract_y
_atom_site_fract_z
Li1 Li 0.0000 0.0000 0.0000
Y1 Y 0.2500 0.2500 0.2500
Hg1 Hg 0.0000 0.0000 0.5000
```

Results
Formation energy from the elements ... 0.1886 eV/atom

8.
Below is a relaxed Li2YHg2 crystal, with properties calculated at the PBE level.

```
data_Li2YHg2
_cell_length_a 7.8855
_cell_length_b 7.8855
_cell_length_c 3.3072
_cell_angle_alpha 90.00
_cell_angle_beta 90.00
_cell_angle_gamma 90.00
_space_group_name_H-M_alt 'P 4/m b m'
_space_group_IT_number 127
_space_group_name_Hall '-P 4 2ab'
loop_
_atom_site_label
_atom_site_type_symbol
_atom_site_fract_x
_atom_site_fract_y
_atom_site_fract_z
Li1 Li 0.1147 0.3853 0.0000
Y1 Y 0.0000 0.0000 0.0000
Hg1 Hg 0.1842 0.6842 0.5000
```

Results
Formation energy from the elements ... -0.3233 eV/atom

9.
Below is a relaxed LiY4Hg3 crystal, with properties calculated at the PBE level.

```
data_LiY4Hg3
_cell_length_a 5.2593
_cell_length_b 5.2593
_cell_length_c 14.8320
_cell_angle_alpha 90.00
_cell_angle_beta 90.00
_cell_angle_gamma 90.00
_space_group_name_H-M_alt 'I 4/m m m'
_space_group_IT_number 139
_space_group_name_Hall '-I 4 2'
loop_
_atom_site_label
_atom_site_type_symbol
_atom_site_fract_x
_atom_site_fract_y
_atom_site_fract_z
Li1 Li 0.0000 0.0000 0.0000
Y1 Y 0.0000 0.5000 0.1253
Hg1 Hg 0.0000 0.0000 0.2454
Hg2 Hg 0.0000 0.0000 0.5000
```

Results
Formation energy from the elements ... -0.3920 eV/atom

10.
Below is a relaxed Li2YHg crystal, with properties calculated at the PBE level.

```
data_Li2YHg
_cell_length_a 7.0344
_cell_length_b 7.0344
_cell_length_c 7.0344
_cell_angle_alpha 90.00
_cell_angle_beta 90.00
_cell_angle_gamma 90.00
_space_group_name_H-M_alt 'F -4 3 m'
_space_group_IT_number 216
_space_group_name_Hall 'F -4 2 3'
loop_
_atom_site_label
_atom_site_type_symbol
_atom_site_fract_x
_atom_site_fract_y
_atom_site_fract_z
Li1 Li 0.0000 0.0000 0.0000
Li2 Li 0.2500 0.2500 0.2500
Y1 Y 0.2500 0.2500 0.7500
Hg1 Hg 0.0000 0.0000 0.5000
```

Results
Formation energy from the elements ... -0.2094 eV/atom

11.
Below is a relaxed Li2YHg crystal, with properties calculated at the PBE level.

```
data_Li2YHg
_cell_length_a 3.5361
_cell_length_b 4.4761
_cell_length_c 6.2333
_cell_angle_alpha 90.00
_cell_angle_beta 105.86
_cell_angle_gamma 90.00
_space_group_name_H-M_alt 'P 1 m 1'
_space_group_IT_number 6
loop_
_space_group_symop_operation_xyz
'x,y,z'
'x,-y,z'
loop_
_atom_site_label
_atom_site_type_symbol
_atom_site_fract_x
_atom_site_fract_y
_atom_site_fract_z
Li1 Li 0.0000 0.0000 0.0000
Li2 Li 0.4160 0.5000 0.8424
Y1 Y 0.6945 0.5000 0.3767
Hg1 Hg 0.2909 0.0000 0.5769
```

Results
Formation energy from the elements ... -0.1635 eV/atom

12.
Below is a relaxed LiYHg3 crystal, with properties calculated at the PBE level.

```
data_LiYHg3
_cell_length_a 5.8347
_cell_length_b 5.8347
_cell_length_c 5.8347
_cell_angle_alpha 90.00
_cell_angle_beta 90.00
_cell_angle_gamma 90.00
_space_group_name_H-M_alt 'P m -3 m'
_space_group_IT_number 221
_space_group_name_Hall '-P 4 2 3'
loop_
_atom_site_label
_atom_site_type_symbol
_atom_site_fract_x
_atom_site_fract_y
_atom_site_fract_z
Li1 Li 0.0000 0.0000 0.0000
Y1 Y 0.5000 0.5000 0.5000
Hg1 Hg 0.0000 0.5000 0.5000
```

Results
Formation energy from the elements ... 0.2532 eV/atom

- Which value of formation energy from the elements does entry 1 give?
  0.3705 eV/atom

- Which value of formation energy from the elements does entry 1 give?
  0.3705 eV/atom

- Which value of formation energy from the elements does entry 6 give?
  -0.3679 eV/atom

- What is the formula in the seventh record?
  LiYHg